DFT (PBE) results for an optimized crystal structure of Ac5Pr5Nd2.

```
Ac5Pr5Nd2
1.0
5.892 0.000 1.259
2.571 8.937 2.383
1.056 1.346 9.476
Ac Pr Nd
5 5 2
Direct
0.122 0.215 0.541
0.252 0.744 0.753
0.000 0.000 0.000
0.878 0.785 0.459
0.748 0.256 0.247
0.500 0.500 0.500
0.377 0.962 0.283
0.623 0.038 0.717
0.376 0.294 0.954
0.624 0.706 0.046
0.125 0.547 0.203
0.875 0.453 0.797
```

Summary:
- SG: C2/m, No. 12
- V: 473 Å³ per cell
- ΔH_f (0 K): 0.6 eV/f.u.

DFT (PBE) results for an optimized crystal structure of HoTmGeRu.

```
HoTmGeRu
1.0
-3.260 -3.491 -1.011
1.135 -4.690 0.745
-2.126 -2.480 3.629
Ho Ge Tm Ru
1 1 1 1
Direct
0.500 0.500 0.500
0.750 0.750 0.750
0.000 0.000 0.000
0.250 0.250 0.250
```

Summary:
- Distance to the lowest polymorph of the same formula: 0.135 eV per atom
- SG: F-43m, No. 216
- V: 82 Å³ per cell
- ΔH_f (0 K): -2.0 eV/f.u.

DFT (PBE) results for an optimized crystal structure of Ac2CuSe6.

```
Ac2CuSe6
1.0
5.325 0.000 0.379
0.000 7.448 0.000
-1.369 -3.724 6.456
Se Ac Cu
6 2 1
Direct
0.175 0.890 0.267
0.825 0.623 0.733
0.175 0.377 0.267
0.500 0.230 0.000
0.500 0.770 0.000
0.825 0.110 0.733
0.712 0.668 0.337
0.288 0.332 0.663
0.000 0.000 0.000
```

Summary:
- SG: C2/m, No. 12
- V: 260 Å³ per cell
- Electronic total energy: -4.687 eV/atom